This record from Alexandria describes a geometry-optimized MgMn4Be structure. The functional is PBE.

Cell and atoms, written as POSCAR:
```
MgMn4Be
1.0
0.0000 3.3057 3.3057
3.3057 0.0000 3.3057
3.3057 3.3057 0.0000
Mg Mn Be
1 4 1
Direct
0.0000 0.0000 0.0000
0.1272 0.6243 0.6243
0.6243 0.1272 0.6243
0.6243 0.6243 0.1272
0.6243 0.6243 0.6243
0.2500 0.2500 0.2500
```

magnetic moment = 0.00 μB per cell
calculated total energy = -6.67 eV/atom
energy relative to the elements = 0.331 eV per atom
space-group type = F-43m (216)